# 1
# NdMgGa

Crystalline NdMgGa at its relaxed geometry (PBEsol, the Alexandria database).

The value obtained for the formation enthalpy at 0 K is -11.59 kcal/mol of atoms. The raw total energy is -3.91 eV/atom.

CIF file:
```
data_NdMgGa
_chemical_formula_sum 'Nd3 Mg3 Ga3'
_cell_length_a 7.3816
_cell_length_b 7.3816
_cell_length_c 4.4777
_cell_angle_alpha 90.00
_cell_angle_beta 90.00
_cell_angle_gamma 120.00
_space_group_name_H-M_alt 'P -6 2 m'
_space_group_IT_number 189
_space_group_name_Hall 'P -6 -2'
loop_
_atom_site_label
_atom_site_fract_x
_atom_site_fract_y
_atom_site_fract_z
_atom_site_occupancy
Nd1 0.0000 0.5772 0.0000 1
Mg1 0.0000 0.2431 0.5000 1
Ga1 0.0000 0.0000 0.0000 1
Ga2 0.3333 0.6667 0.5000 1
```

=====

# 2
# ReMoIr

Crystalline ReMoIr at its relaxed geometry (PBEsol, the Alexandria database).

The energy above the most stable polymorph in this dataset comes out at 71 meV per atom. The value obtained for the formation enthalpy at 0 K is 0.33 kcal/mol of atoms. The raw total energy is -11.63 eV/atom.

CIF file:
```
data_ReMoIr
_chemical_formula_sum 'Re1 Mo1 Ir1'
_cell_length_a 2.7246
_cell_length_b 2.7246
_cell_length_c 6.8340
_cell_angle_alpha 90.00
_cell_angle_beta 90.00
_cell_angle_gamma 120.00
_space_group_name_H-M_alt 'P 3 m 1'
_space_group_IT_number 156
_space_group_name_Hall 'P 3 -2"'
loop_
_atom_site_label
_atom_site_fract_x
_atom_site_fract_y
_atom_site_fract_z
_atom_site_occupancy
Re1 0.0000 0.0000 0.0000 1
Mo1 0.3333 0.6667 0.3426 1
Ir1 0.6667 0.3333 0.6725 1
```

=====

- Among the records above, which one has the lowest raw total energy?
  ReMoIr

=====

- raw total energy of number 1 (NdMgGa)?
  -3.91 eV/atom